A plane-wave DFT calculation with PBE+U was carried out for a relaxed structure of KNiF3.

The structure belongs to space group R3m (No. 160, hexagonal axes); the cell edges are 7.3087, 7.3087 and 9.1303 Å and the angles 90.00°, 90.00° and 120.00°. Symmetry generates all atoms from K at (0.0000, 0.0000, 0.0000), Ni at (0.0000, 0.0000, 0.6629) and F at (0.0560, 0.5280, 0.3888).

Its uncorrected energy is -3.96 eV per atom.